(1)
Y2Cd2Te | GGA-PBE | optimized geometry

abc: 7.9460 7.9460 4.6748
angles: 90.00 90.00 90.00
Last column: nearest neighbours and their distance in Å.
Space group P4/mbm (No. 127)
Symmetry-distinct sites (fractional):
Y 0.1628 0.3372 0.0000 x4  2 Te 2.98, 6 Cd 3.27-3.32
Cd 0.1332 0.6332 0.5000 x4  1 Cd 2.99, 6 Y 3.27-3.32
Te 0.0000 0.0000 0.0000 x2  4 Y 2.98

Output
Fermi-level density of states	5.74	states/eV/f.u.
uncorrected energy	-4.075	eV/atom
excess energy over the best structure of this formula in the dataset	0.000	kcal/mol of atoms
formation energy from raw total energies	-495	meV/atom


(2)
YScF | GGA-PBE | optimized geometry

abc: 3.5779 3.6339 10.3519
angles: 90.00 90.00 90.00
Last column: nearest neighbours and their distance in Å.
Space group Pmmn (No. 59, origin choice 2)
Symmetry-distinct sites (fractional):
Y 0.2500 0.2500 0.1265 x2  2 F 2.38
Sc 0.2500 0.2500 0.6148 x2  2 F 2.12
F 0.2500 0.7500 0.2755 x2  2 Sc 2.12

Output
Fermi-level density of states	3.49	states/eV/f.u.
uncorrected energy	-6.451	eV/atom
formation energy from raw total energies	-1562	meV/atom


(3)
SrH3Pb | GGA-PBE | optimized geometry

abc: 4.4692 4.4692 4.4692
angles: 90.00 90.00 90.00
Last column: nearest neighbours and their distance in Å.
Space group Pm-3m (No. 221)
Symmetry-distinct sites (fractional):
Sr 0.0000 0.0000 0.0000 x1  6 H 2.23
H 0.0000 0.0000 0.5000 x3  2 Sr 2.23
Pb 0.5000 0.5000 0.5000 x1  12 H 3.16

Output
Fermi-level density of states	1.30	states/eV/f.u.
uncorrected energy	-2.948	eV/atom
excess energy over the best structure of this formula in the dataset	0.000	kcal/mol of atoms


(4)
Y2HfF | GGA-PBE | optimized geometry

abc: 3.2064 3.2064 30.3336
angles: 90.00 90.00 120.00
Last column: nearest neighbours and their distance in Å.
Space group R-3m (No. 166, hexagonal axes)
Symmetry-distinct sites (fractional):
Y 0.0000 0.0000 0.1044 x6  3 F 2.64
Hf 0.0000 0.0000 0.0000 x3  2 Y 3.17, 6 Hf 3.21
F 0.0000 0.0000 0.5000 x3  6 Y 2.64

Output
Fermi-level density of states	4.91	states/eV/f.u.
uncorrected energy	-6.908	eV/atom
excess energy over the best structure of this formula in the dataset	3.224	kcal/mol of atoms
formation energy from raw total energies	-719	meV/atom


(5)
Ba2IrBr | GGA-PBE | optimized geometry

abc: 8.1618 8.1618 9.8022
angles: 90.00 90.00 90.00
Last column: nearest neighbours and their distance in Å.
Space group I-42d (No. 122)
Symmetry-distinct sites (fractional):
Ba 0.2063 0.2500 0.1250 x8  2 Ir 2.92
Ir 0.0000 0.0000 0.0000 x4  4 Ba 2.92
Br 0.0000 0.0000 0.5000 x4  4 Ba 3.38

Output
Fermi-level density of states	0.00	states/eV/f.u.
uncorrected energy	-4.264	eV/atom
excess energy over the best structure of this formula in the dataset	4.338	kcal/mol of atoms
formation energy from raw total energies	-669	meV/atom


(6)
CaDyTlGa | GGA-PBE | optimized geometry

abc: 7.4720 7.4720 7.4720
angles: 90.00 90.00 90.00
Last column: nearest neighbours and their distance in Å.
Space group F-43m (No. 216)
Symmetry-distinct sites (fractional):
Ca 0.0000 0.0000 0.0000 x4  4 Ga 3.24, 4 Tl 3.24
Dy 0.0000 0.0000 0.5000 x4  4 Tl 3.24, 4 Ga 3.24
Tl 0.2500 0.2500 0.7500 x4  4 Ca 3.24, 4 Dy 3.24
Ga 0.2500 0.2500 0.2500 x4  4 Dy 3.24, 4 Ca 3.24

Output
Fermi-level density of states	2.68	states/eV/f.u.
energy of formation	-403	meV per atom
uncorrected energy	-3.403	eV/atom
excess energy over the best structure of this formula in the dataset	1.128	kcal/mol of atoms


(7)
Ba2Li3Sb5 | GGA-PBE | optimized geometry

abc: 13.4526 14.0427 7.2719
angles: 90.00 122.67 90.00
Last column: nearest neighbours and their distance in Å.
Space group C2/c (No. 15)
Symmetry-distinct sites (fractional):
Ba 0.2421 0.1283 0.2417 x8  10 Sb 3.53-3.85, 5 Li 3.78-3.95
Li 0.0000 0.5003 0.2500 x4  6 Sb 2.91-3.24
Li 0.1048 0.1324 0.6058 x8  5 Sb 2.79-2.91
Sb 0.0000 0.0004 0.2500 x4  4 Li 2.86
Sb 0.0000 0.2694 0.2500 x4  3 Li 2.91-3.24, 2 Sb 3.03
Sb 0.0000 0.2700 0.7500 x4  3 Li 2.90-3.22, 2 Sb 3.03
Sb 0.1504 0.3922 0.1512 x8  3 Li 2.79-2.92, 2 Sb 3.03

Output
Fermi-level density of states	4.21	states/eV/f.u.
uncorrected energy	-3.641	eV/atom
formation energy from raw total energies	-621	meV/atom


(8)
LuCdPt2 | GGA-PBE | optimized geometry

abc: 6.7003 6.7003 6.7003
angles: 90.00 90.00 90.00
Last column: nearest neighbours and their distance in Å.
Space group Fm-3m (No. 225)
Symmetry-distinct sites (fractional):
Lu 0.0000 0.0000 0.0000 x4  8 Pt 2.90
Cd 0.0000 0.0000 0.5000 x4  8 Pt 2.90
Pt 0.2500 0.2500 0.2500 x8  4 Cd 2.90, 4 Lu 2.90

Output
Fermi-level density of states	1.70	states/eV/f.u.
energy of formation	-886	meV per atom
uncorrected energy	-5.265	eV/atom